The following is a DFT calculation (GGA-PBE) of a relaxed NdDy5Ho2Er crystal.

Structure (POSCAR):
```
NdDy5Ho2Er
1.0
5.5977 0.0000 0.0000
-2.7989 9.8911 0.0000
0.0000 0.0000 10.5292
Dy Ho Er Nd
10 4 2 2
Cartesian
2.7989 3.9890 2.2009 Dy
0.0000 9.4753 7.7693 Dy
0.0000 5.9021 7.4655 Dy
2.7989 4.3326 8.5602 Dy
2.7989 2.2469 5.5005 Dy
0.0000 5.5585 3.2956 Dy
2.7989 0.4158 2.5048 Dy
2.7989 9.5364 5.5123 Dy
0.0000 0.3547 0.2477 Dy
0.0000 7.6442 0.2359 Dy
0.0000 2.2481 3.3512 Ho
2.7989 7.6430 8.6158 Ho
2.7989 7.6883 2.4740 Ho
0.0000 2.2029 7.7385 Ho
0.0000 3.9477 0.1270 Er
2.7989 5.9435 5.3916 Er
2.7989 1.6720 10.0324 Nd
0.0000 8.2191 4.7678 Nd
```

Output
The calculation puts the total energy at -0.1636 Ha/atom. Its energy relative to the elements is 15.4 kJ/mol of atoms. As for the space group: Cmc2_1, No. 36. The calculated volume comes out at 582.98 Å³ per cell.